Record 1
The following is a GGA-PBE calculation of a geometry-optimized AgMoRh structure, from the Alexandria database.

## Properties
DOS at the Fermi energy, states/eV/f.u.: 2.00
Excess energy over the best structure of this formula in the dataset, meV/atom: 124
Calculated density, Mg/m³: 10.55

Lattice parameters (Å, degrees): 2.9564 4.5737 14.2820 90.00 90.00 90.00
Last column: nearest neighbours and their distance in Å.
Space group Fmm2 (No. 42)
Asymmetric unit:
Ag  0.0000  0.0000  0.0000 (multiplicity 4)  6 Ag 2.72-2.96, 2 Rh 2.88, 2 Mo 2.92
Mo  0.0000  0.0000  0.3238 (multiplicity 4)  2 Rh 2.61, 4 Mo 2.72, 2 Ag 2.92
Rh  0.0000  0.0000  0.6733 (multiplicity 4)  2 Mo 2.61, 4 Rh 2.72, 2 Ag 2.88



Record 2
The following is a GGA-PBE calculation of a geometry-optimized AgMo2Rh structure, from the Alexandria database.

## Properties
DOS at the Fermi energy, states/eV/f.u.: 3.86
Excess energy over the best structure of this formula in the dataset, meV/atom: 91
Calculated density, Mg/m³: 10.57

Lattice parameters (Å, degrees): 2.7292 4.0107 5.7799 90.00 90.00 90.00
Last column: nearest neighbours and their distance in Å.
Space group Pmm2 (No. 25)
Asymmetric unit:
Ag  0.0000  0.0000  0.0000 (multiplicity 1)  2 Ag 2.73, 6 Mo 2.80-2.98, 4 Rh 2.87
Mo  0.0000  0.0000  0.5151 (multiplicity 1)  6 Mo 2.73-2.83, 4 Rh 2.74, 2 Ag 2.80-2.98
Mo  0.5000  0.5000  0.2618 (multiplicity 1)  6 Mo 2.73-2.83, 2 Rh 2.73-3.05, 4 Ag 2.86
Rh  0.5000  0.5000  0.7349 (multiplicity 1)  2 Rh 2.73, 6 Mo 2.73-3.05, 4 Ag 2.87



Record 3
The following is a GGA-PBE calculation of a geometry-optimized AgMo2Rh structure, from the Alexandria database.

## Properties
DOS at the Fermi energy, states/eV/f.u.: 3.05
Excess energy over the best structure of this formula in the dataset, meV/atom: 44
Calculated density, Mg/m³: 10.69

Lattice parameters (Å, degrees): 2.7411 4.1380 5.5123 90.00 90.17 90.00
Last column: nearest neighbours and their distance in Å.
Space group P2/m (No. 10)
Asymmetric unit:
Ag  0.0000  0.0000  0.0000 (multiplicity 1)  2 Ag 2.74, 2 Rh 2.76, 8 Mo 2.88-2.89
Mo  0.5000  0.5000  0.2664 (multiplicity 2)  3 Mo 2.58-2.74, 4 Rh 2.79-2.80, 2 Ag 2.88
Rh  0.0000  0.0000  0.5000 (multiplicity 1)  2 Rh 2.74, 2 Ag 2.76, 8 Mo 2.79-2.80



Record 4
The following is a GGA-PBE calculation of a geometry-optimized AgMo2Rh structure, from the Alexandria database.

## Properties
DOS at the Fermi energy, states/eV/f.u.: 3.67
Excess energy over the best structure of this formula in the dataset, meV/atom: 40
Calculated density, Mg/m³: 10.63

Lattice parameters (Å, degrees): 2.7290 2.7290 8.4458 90.00 90.00 90.00
Last column: nearest neighbours and their distance in Å.
Space group P4/mmm (No. 123)
Asymmetric unit:
Ag  0.0000  0.0000  0.0000 (multiplicity 1)  4 Ag 2.73, 8 Mo 2.97
Mo  0.5000  0.5000  0.2672 (multiplicity 2)  4 Mo 2.73, 4 Rh 2.75, 4 Ag 2.97
Rh  0.0000  0.0000  0.5000 (multiplicity 1)  4 Rh 2.73, 8 Mo 2.75